1.
Below is crystalline Ti6TeCl12 at its relaxed geometry, with properties calculated at the PBE-GGA level.

Output
Raw formation energy ... -1.30 eV per atom
DOS at the Fermi energy ... 8.7 states/eV/cell
SG ... No. 166

Cell lengths 8.030, 8.030, 8.030 Å; angles 101.19, 101.19, 101.19 degrees
Last column: magnetic moment on the atom in μB.
Positions (direct):
Ti  0.871  0.632  0.871  0.28
Ti  0.871  0.871  0.632  0.28
Ti  0.632  0.871  0.871  0.28
Ti  0.129  0.129  0.368  0.28
Ti  0.129  0.368  0.129  0.28
Ti  0.368  0.129  0.129  0.28
Te  0.000  0.000  0.000  -0.02
Cl  0.874  0.126  0.500  0.01
Cl  0.434  0.171  0.434  -0.01
Cl  0.434  0.434  0.171  -0.01
Cl  0.829  0.566  0.566  -0.01
Cl  0.566  0.566  0.829  -0.01
Cl  0.566  0.829  0.566  -0.01
Cl  0.500  0.874  0.126  0.01
Cl  0.126  0.500  0.874  0.01
Cl  0.126  0.874  0.500  0.01
Cl  0.500  0.126  0.874  0.01
Cl  0.874  0.500  0.126  0.01
Cl  0.171  0.434  0.434  -0.01



2.
Below is crystalline Fe2CoAu at its relaxed geometry, with properties calculated at the PBE-GGA level.

Output
E above lowest polymorph ... 84.0 meV/atom
Formation enthalpy at 0 K ... 16.4 kJ/mol of atoms
DOS at the Fermi energy ... 4.1 states/eV/cell
SG ... No. 8

Cell lengths 4.520, 4.520, 4.611 Å; angles 79.13, 79.13, 35.35 degrees
Last column: magnetic moment on the atom in μB.
Positions (direct):
Au  0.499  0.499  0.498  0.04
Co  0.744  0.744  0.780  1.61
Fe  0.003  0.003  0.991  2.66
Fe  0.255  0.255  0.232  2.77



3.
Below is crystalline Nd2BeAl at its relaxed geometry, with properties calculated at the PBE-GGA level.

Output
E above lowest polymorph ... 27.9 meV/atom
Formation enthalpy at 0 K ... -4.3 kJ/mol of atoms
DOS at the Fermi energy ... 4.3 states/eV/cell
SG ... No. 225

Cell lengths 5.155, 5.155, 5.155 Å; angles 60.00, 60.00, 60.00 degrees
Positions (direct):
Be  0.500  0.500  0.500
Nd  0.250  0.250  0.250
Nd  0.750  0.750  0.750
Al  0.000  0.000  0.000



4.
Below is crystalline SrCaOs2 at its relaxed geometry, with properties calculated at the PBE-GGA level.

Output
E above lowest polymorph ... 642.7 meV/atom
Formation enthalpy at 0 K ... 100.4 kJ/mol of atoms
DOS at the Fermi energy ... 3.6 states/eV/cell
SG ... No. 166

Cell lengths 9.979, 9.979, 9.979 Å; angles 17.62, 17.62, 17.62 degrees
Positions (direct):
Sr  0.250  0.250  0.250
Ca  0.750  0.750  0.750
Os  0.003  0.003  0.003
Os  0.497  0.497  0.497



5.
Below is crystalline PuSnAu4 at its relaxed geometry, with properties calculated at the PBE-GGA level.

Output
E above lowest polymorph ... 0.0 meV/atom
Formation enthalpy at 0 K ... -25.0 kJ/mol of atoms
DOS at the Fermi energy ... 16.5 states/eV/cell
SG ... No. 216

Cell lengths 5.661, 5.661, 5.661 Å; angles 60.00, 60.00, 60.00 degrees
Last column: magnetic moment on the atom in μB.
Positions (direct):
Au  0.625  0.625  0.125  0.01
Au  0.625  0.125  0.625  0.01
Au  0.625  0.625  0.625  0.01
Au  0.125  0.625  0.625  0.01
Sn  0.000  0.000  0.000  0.00
Pu  0.250  0.250  0.250  5.38



6.
Below is crystalline PmPr5DyTm2 at its relaxed geometry, with properties calculated at the PBE-GGA level.

Output
Formation enthalpy at 0 K ... 14.0 kJ/mol of atoms
DOS at the Fermi energy ... 28.7 states/eV/cell
SG ... No. 36

Cell lengths 5.673, 10.661, 10.802 Å; angles 90.00, 90.00, 105.43 degrees
Positions (direct):
Pm  0.800  0.600  0.510
Pm  0.200  0.400  0.010
Pr  0.388  0.775  0.024
Pr  0.719  0.439  0.811
Pr  0.482  0.963  0.744
Pr  0.295  0.591  0.704
Pr  0.985  0.969  0.520
Pr  0.612  0.225  0.524
Pr  0.281  0.561  0.311
Pr  0.518  0.037  0.244
Pr  0.705  0.409  0.204
Pr  0.015  0.031  0.020
Dy  0.591  0.182  0.960
Dy  0.409  0.818  0.460
Tm  0.884  0.769  0.811
Tm  0.111  0.221  0.741
Tm  0.116  0.231  0.311
Tm  0.889  0.779  0.241



7.
Below is crystalline Ho3TeAs2 at its relaxed geometry, with properties calculated at the PBE-GGA level.

Output
Raw formation energy ... -1.05 eV per atom
DOS at the Fermi energy ... 5.0 states/eV/cell
SG ... No. 74

Cell lengths 8.685, 8.014, 8.014 Å; angles 55.04, 57.19, 57.19 degrees
Positions (direct):
Ho  0.000  0.728  0.272
Ho  0.000  0.272  0.728
Ho  0.500  0.772  0.228
Ho  0.500  0.000  0.500
Ho  0.500  0.500  0.000
Ho  0.500  0.228  0.772
Te  0.189  0.250  0.250
Te  0.811  0.750  0.750
As  0.267  0.947  0.947
As  0.340  0.447  0.447
As  0.660  0.553  0.553
As  0.733  0.053  0.053



8.
Below is crystalline Ac2PmEr2 at its relaxed geometry, with properties calculated at the PBE-GGA level.

Output
Formation enthalpy at 0 K ... 6.8 kJ/mol of atoms
DOS at the Fermi energy ... 17.7 states/eV/cell
SG ... No. 2

Cell lengths 12.845, 6.579, 10.019 Å; angles 109.19, 146.75, 89.99 degrees
Positions (direct):
Ac  0.237  0.879  0.085
Ac  0.257  0.290  0.906
Ac  0.743  0.710  0.094
Ac  0.763  0.121  0.915
Pm  0.247  0.487  0.299
Pm  0.753  0.513  0.701
Er  0.260  0.691  0.710
Er  0.255  0.077  0.509
Er  0.740  0.309  0.290
Er  0.745  0.923  0.491